Compound: Tb4PmHo5
Source: the Alexandria database
Functional: PBE
Structure: relaxed

Results
DOS at the Fermi energy in states/eV/cell: 16.13
ΔH_f (0 K) in eV/atom: 0.0603
Calculated volume in A^3/atom: 31.99
Space-group type: P-1

Cell: 3.5536 6.6852 14.0929 Å, 98.63 92.91 104.00°
Last column: nearest neighbours and their distance in Å.
Sites, in units of the cell vectors:
1 Tb 0.1206 0.3095 0.2166  5 Tb 3.45-3.58, 5 Ho 3.46-3.70, 1 Pm 3.52
2 Tb 0.1896 0.2266 0.8047  1 Pm 3.26, 4 Ho 3.43-3.58, 5 Tb 3.45-3.58
3 Tb 0.8104 0.7734 0.1953  1 Pm 3.26, 4 Ho 3.43-3.58, 5 Tb 3.45-3.58
4 Tb 0.8794 0.6905 0.7834  5 Tb 3.45-3.58, 5 Ho 3.46-3.70, 1 Pm 3.52
5 Pm 0.0000 0.5000 0.0000  4 Tb 3.26-3.52, 2 Ho 3.38, 2 Pm 3.55
6 Ho 0.2035 0.3805 0.5835  3 Tb 3.43-3.65, 9 Ho 3.48-3.62
7 Ho 0.4899 0.9262 0.6132  4 Tb 3.46-3.60, 8 Ho 3.48-3.62
8 Ho 0.5000 0.0000 0.0000  2 Pm 3.38, 2 Ho 3.55, 4 Tb 3.58-3.70
9 Ho 0.5101 0.0738 0.3868  4 Tb 3.46-3.60, 8 Ho 3.48-3.62
10 Ho 0.7965 0.6195 0.4165  3 Tb 3.43-3.65, 9 Ho 3.48-3.62

Compound: PuHPb3
Source: the Alexandria database
Functional: PBE
Structure: relaxed

Results
Uncorrected energy in eV/f.u.: -28.55
DOS at the Fermi energy in states/eV/cell: 11.13
Calculated volume in A^3/atom: 23.74
Space-group type: Pm-3m

Cell: 4.9146 4.9146 4.9146 Å, 90.00 90.00 90.00°
Last column: nearest neighbours and their distance in Å.
Sites, in units of the cell vectors:
1 Pu 0.0000 0.0000 0.0000  12 Pb 3.48
2 H 0.5000 0.5000 0.5000  6 Pb 2.46
3 Pb 0.0000 0.5000 0.5000  2 H 2.46
4 Pb 0.5000 0.0000 0.5000  2 H 2.46
5 Pb 0.5000 0.5000 0.0000  2 H 2.46

Compound: Ti2AsRu2
Source: the Alexandria database
Functional: PBE
Structure: relaxed

Results
DOS at the Fermi energy in states/eV/cell: 6.06
ΔH_f (0 K) in eV/atom: -0.3104
Calculated volume in A^3/atom: 15.72
Space-group type: P4/mbm

Cell: 7.1941 7.1941 3.0375 Å, 90.00 90.00 90.00°
Last column: nearest neighbours and their distance in Å.
Sites, in units of the cell vectors:
1 Ti 0.1599 0.3401 0.0000  6 Ru 2.56-2.63
2 Ti 0.3401 0.8401 0.0000  6 Ru 2.56-2.63
3 Ti 0.6599 0.1599 0.0000  6 Ru 2.56-2.63
4 Ti 0.8401 0.6599 0.0000  6 Ru 2.56-2.63
5 As 0.0000 0.0000 0.5000  4 Ru 2.79, 2 As 3.04, 8 Ti 3.10
6 As 0.5000 0.5000 0.5000  4 Ru 2.79, 2 As 3.04, 8 Ti 3.10
7 Ru 0.1375 0.6375 0.5000  6 Ti 2.56-2.63, 2 As 2.79, 1 Ru 2.80
8 Ru 0.3625 0.1375 0.5000  6 Ti 2.56-2.63, 2 As 2.79, 1 Ru 2.80
9 Ru 0.6375 0.8625 0.5000  6 Ti 2.56-2.63, 2 As 2.79, 1 Ru 2.80
10 Ru 0.8625 0.3625 0.5000  6 Ti 2.56-2.63, 2 As 2.79, 1 Ru 2.80

Compound: Ce3ThP4
Source: the Alexandria database
Functional: PBE
Structure: relaxed

Results
DOS at the Fermi energy in states/eV/cell: 13.17
ΔH_f (0 K) in eV/atom: -1.5235
Calculated volume in A^3/atom: 24.53
Space-group type: Pm-3m

Cell: 5.8112 5.8112 5.8112 Å, 90.00 90.00 90.00°
Last column: nearest neighbours and their distance in Å.
Sites, in units of the cell vectors:
1 Ce 0.0000 0.0000 0.5000  6 P 2.91
2 Ce 0.0000 0.5000 0.0000  6 P 2.91
3 Ce 0.5000 0.0000 0.0000  6 P 2.91
4 Th 0.5000 0.5000 0.5000  6 P 2.91
5 P 0.0000 0.0000 0.0000  6 Ce 2.91
6 P 0.0000 0.5000 0.5000  2 Th 2.91, 4 Ce 2.91
7 P 0.5000 0.0000 0.5000  2 Th 2.91, 4 Ce 2.91
8 P 0.5000 0.5000 0.0000  2 Th 2.91, 4 Ce 2.91

Compound: CaLa2GePb
Source: the Alexandria database
Functional: PBE
Structure: relaxed

Results
DOS at the Fermi energy in states/eV/cell: 0.47
ΔH_f (0 K) in eV/atom: 0.1537
Calculated volume in A^3/atom: 42.11
Space-group type: P4/mmm

Cell: 6.0702 6.0702 5.7140 Å, 90.00 90.00 90.00°
Last column: nearest neighbours and their distance in Å.
Sites, in units of the cell vectors:
1 Ca 0.0000 0.0000 0.0000  2 Pb 2.86
2 La 0.0000 0.5000 0.5000  2 Pb 3.04
3 La 0.5000 0.0000 0.5000  2 Pb 3.04
4 Ge 0.5000 0.5000 0.0000  8 La 4.17, 4 Ca 4.29
5 Pb 0.0000 0.0000 0.5000  2 Ca 2.86, 4 La 3.04

Compound: LiV2Ni2
Source: the Alexandria database
Functional: PBE
Structure: relaxed

Results
DOS at the Fermi energy in states/eV/cell: 8.35
ΔH_f (0 K) in eV/atom: 0.0151
Calculated volume in A^3/atom: 13.19
Space-group type: P4/mbm

Cell: 7.2754 7.2754 2.4916 Å, 90.00 90.00 90.00°
Last column: nearest neighbours and their distance in Å.
Sites, in units of the cell vectors:
1 Li 0.0000 0.0000 0.0000  2 Li 2.49
2 Li 0.5000 0.5000 0.0000  2 Li 2.49
3 V 0.1198 0.3802 0.0000  6 Ni 2.45-2.51, 3 V 2.46-2.49
4 V 0.3802 0.8802 0.0000  6 Ni 2.45-2.51, 3 V 2.46-2.49
5 V 0.6198 0.1198 0.0000  6 Ni 2.45-2.51, 3 V 2.46-2.49
6 V 0.8802 0.6198 0.0000  6 Ni 2.45-2.51, 3 V 2.46-2.49
7 Ni 0.1751 0.6751 0.5000  6 V 2.45-2.51, 2 Ni 2.49
8 Ni 0.3249 0.1751 0.5000  6 V 2.45-2.51, 2 Ni 2.49
9 Ni 0.6751 0.8249 0.5000  6 V 2.45-2.51, 2 Ni 2.49
10 Ni 0.8249 0.3249 0.5000  6 V 2.45-2.51, 2 Ni 2.49

Number 1: magnetization 0.00 μB per cell. Number 2: magnetization 5.72 μB per cell. Number 3: magnetization 0.00 μB per cell. Number 4: magnetization 1.84 μB per cell. Number 5: magnetization 0.00 μB per cell. Number 6: magnetization 0.00 μB per cell.